Density functional theory data (PBE+U) for crystalline RbCrW2O at its relaxed geometry.

Results
calculated total energy = -4.130 eV/atom

Unit cell a=6.117 b=3.617 c=6.117 alpha=90.00 beta=90.00 gamma=90.00
Last column: magnetic moment on the atom in μB.
Atoms (fractional coordinates):
1 O 0.000 0.500 0.000  -0.13
2 Cr 0.000 0.000 0.000  1.43
3 Rb 0.500 0.500 0.500  0.06
4 W 0.000 0.000 0.500  3.51
5 W 0.500 0.000 0.000  3.63